No. 1
# KAl2Sb | the Alexandria database | PBE | relaxed
data_KAl2Sb
_chemical_formula_sum 'K1 Al2 Sb1'
_cell_length_a 3.978
_cell_length_b 4.038
_cell_length_c 7.337
_cell_angle_alpha 90.00
_cell_angle_beta 90.00
_cell_angle_gamma 90.00
_symmetry_space_group_name_H-M 'P m m 2'
_symmetry_Int_Tables_number 25
loop_
_symmetry_equiv_pos_as_xyz
'x,y,z'
'-x,-y,z'
'-x,y,z'
'x,-y,z'
loop_
_atom_site_label
_atom_site_fract_x
_atom_site_fract_y
_atom_site_fract_z
K1 0.000 0.000 0.000
Al1 0.000 0.500 0.416
Al2 0.500 0.000 0.423
Sb1 0.500 0.500 0.693
# Total magnetic moment = 0.0 μB/cell
# Raw total energy = -12.77 eV per cell

---

No. 2
# K2AlSb | the Alexandria database | PBE | relaxed
data_K2AlSb
_chemical_formula_sum 'K4 Al2 Sb2'
_cell_length_a 11.903
_cell_length_b 3.534
_cell_length_c 6.263
_cell_angle_alpha 90.00
_cell_angle_beta 98.58
_cell_angle_gamma 90.00
_symmetry_space_group_name_H-M 'C 1 2/m 1'
_symmetry_Int_Tables_number 12
loop_
_symmetry_equiv_pos_as_xyz
'x,y,z'
'-x,-y,-z'
'-x,y,-z'
'x,-y,z'
'x+1/2,y+1/2,z'
'-x+1/2,-y+1/2,-z'
'-x+1/2,y+1/2,-z'
'x+1/2,-y+1/2,z'
loop_
_atom_site_label
_atom_site_fract_x
_atom_site_fract_y
_atom_site_fract_z
K1 0.246 0.000 0.242
Al1 0.000 0.000 0.500
Sb1 0.000 0.500 0.000
# Relative energy among the computed polymorphs = 38.0 kJ per mole of atoms
# Total magnetic moment = 0.0 μB/cell

---

No. 3
# K2AlSb | the Alexandria database | PBE | relaxed
data_K2AlSb
_chemical_formula_sum 'K4 Al2 Sb2'
_cell_length_a 7.010
_cell_length_b 11.127
_cell_length_c 3.227
_cell_angle_alpha 90.00
_cell_angle_beta 90.00
_cell_angle_gamma 90.00
_symmetry_space_group_name_H-M 'C m m m'
_symmetry_Int_Tables_number 65
_symmetry_space_group_name_Hall '-C 2 2'
loop_
_atom_site_label
_atom_site_fract_x
_atom_site_fract_y
_atom_site_fract_z
K1 0.250 0.250 0.000
Al1 0.000 0.000 0.500
Sb1 0.000 0.500 0.500
# Relative energy among the computed polymorphs = 27.4 kJ per mole of atoms
# Total magnetic moment = 0.0 μB/cell

---

No. 4
# KAl2Sb | the Alexandria database | PBE | relaxed
data_KAl2Sb
_chemical_formula_sum 'K4 Al8 Sb4'
_cell_length_a 7.465
_cell_length_b 7.465
_cell_length_c 7.465
_cell_angle_alpha 90.00
_cell_angle_beta 90.00
_cell_angle_gamma 90.00
_symmetry_space_group_name_H-M 'F -4 3 m'
_symmetry_Int_Tables_number 216
_symmetry_space_group_name_Hall 'F -4 2 3'
loop_
_atom_site_label
_atom_site_fract_x
_atom_site_fract_y
_atom_site_fract_z
K1 0.000 0.000 0.000
Al1 0.000 0.000 0.500
Al2 0.250 0.250 0.750
Sb1 0.250 0.250 0.250
# Total magnetic moment = 0.0 μB/cell
# Raw total energy = -45.83 eV per cell

---

Number 1: calculated density 3.0 g/cm³. Number 2: calculated density 2.9 g/cm³. Number 3: calculated density 3.0 g/cm³. Number 4: calculated density 3.4 g/cm³.